--- a ---
VASP calculation (PBE) on a relaxed structure of MgI2Cl.

Summary:
V: 40.602 Å³/atom
Size of the total moment: 1.000 μB per formula unit

a b c (Å): 7.912 7.912 7.630
angles (deg): 58.77 58.77 90.00
Each line ends with the local moment (μB).
Positions (direct):
I1 0.559 0.125 0.250  0.14
I2 0.191 0.625 0.250  0.14
I3 0.375 0.441 0.750  0.13
I4 0.875 0.809 0.750  0.14
Mg1 0.500 0.500 0.000  0.00
Mg2 0.250 0.750 0.500  0.00
Cl1 0.000 0.000 0.000  0.43
Cl2 0.750 0.250 0.500  0.46

---

--- b ---
VASP calculation (PBE) on a relaxed structure of MgI2Cl.

Summary:
V: 27.771 Å³/atom
Size of the total moment: 0.000 μB per formula unit

a b c (Å): 5.396 5.396 5.396
angles (deg): 60.00 60.00 60.00
Positions (direct):
I1 0.250 0.250 0.250
I2 0.750 0.750 0.750
Mg1 0.000 0.000 0.000
Cl1 0.500 0.500 0.500

---

Preferred: a; penalty for the next structure: 229 meV/atom.

---

--- a ---
VASP calculation (PBE) on a relaxed structure of MgPICl2.

Summary:
V: 31.181 Å³/atom
Size of the total moment: 0.000 μB per formula unit

a b c (Å): 5.404 5.404 5.339
angles (deg): 90.00 90.00 90.00
Positions (direct):
I1 0.000 0.000 0.000
P1 0.000 0.000 0.500
Mg1 0.500 0.500 0.500
Cl1 0.000 0.500 0.000
Cl2 0.500 0.000 0.000

---

--- b ---
VASP calculation (PBE) on a relaxed structure of MgPICl2.

Summary:
V: 34.320 Å³/atom
Size of the total moment: 1.363 μB per formula unit

a b c (Å): 4.586 4.586 8.158
angles (deg): 90.00 90.00 90.00
Each line ends with the local moment (μB).
Positions (direct):
I1 0.500 0.500 0.500  0.03
P1 0.000 0.000 0.500  0.55
Mg1 0.000 0.000 0.000  0.00
Cl1 0.000 0.500 0.000  0.01
Cl2 0.500 0.000 0.000  0.01

---

Preferred: b; penalty for the next structure: 811 meV/atom.

---

--- a ---
VASP calculation (PBE) on a relaxed structure of RbMgI2Cl.

Summary:
V: 38.390 Å³/atom
Size of the total moment: 0.000 μB per formula unit

a b c (Å): 4.476 9.136 9.697
angles (deg): 104.50 90.00 90.00
Positions (direct):
Rb1 0.250 0.673 0.360
Rb2 0.750 0.327 0.640
Mg1 0.250 0.849 0.825
Mg2 0.750 0.151 0.175
I1 0.750 0.914 0.644
I2 0.750 0.820 0.030
I3 0.250 0.086 0.356
I4 0.250 0.180 0.970
Cl1 0.250 0.587 0.705
Cl2 0.750 0.413 0.295

---

--- b ---
VASP calculation (PBE) on a relaxed structure of RbMgI2Cl.

Summary:
V: 35.432 Å³/atom
Size of the total moment: 0.000 μB per formula unit

a b c (Å): 5.991 5.991 4.935
angles (deg): 90.00 90.00 90.00
Positions (direct):
I1 0.000 0.500 0.000
I2 0.500 0.000 0.000
Mg1 0.000 0.000 0.000
Rb1 0.500 0.500 0.500
Cl1 0.000 0.000 0.500

---

Preferred: a; penalty for the next structure: 15 meV/atom.